! Ba2Li3NpH12, optimized geometry, DFT GGA-PBE; values from VASP
! raw total energy = -3.749 eV/atom
! size of the total moment = 2.00 μB/f.u.
! D(E_F) = 14.0 states/eV/cell
&SYSTEM
  ibrav = 0, nat = 18, ntyp = 4
/
ATOMIC_SPECIES
Ba 137.33 Ba.upf
Li 6.94 Li.upf
Np 237.00 Np.upf
H 1.01 H.upf
CELL_PARAMETERS angstrom
3.347 1.932 5.233
-3.347 1.932 5.233
0.000 -3.865 5.233
ATOMIC_POSITIONS crystal
Ba 0.109 0.109 0.109
Ba 0.891 0.891 0.891
Li 0.000 0.500 0.500
Li 0.500 0.000 0.500
Li 0.500 0.500 0.000
Np 0.500 0.500 0.500
H 0.108 0.631 0.631
H 0.268 0.268 0.624
H 0.268 0.624 0.268
H 0.369 0.369 0.892
H 0.369 0.892 0.369
H 0.376 0.732 0.732
H 0.624 0.268 0.268
H 0.631 0.108 0.631
H 0.631 0.631 0.108
H 0.732 0.376 0.732
H 0.732 0.732 0.376
H 0.892 0.369 0.369